1.
# BaNd2Lu PBE relaxed
# * size of the total moment: 0.0 μB/cell
# * formation energy: 0.5 eV per formula unit
# * symmetry: No. 123
# * energy above the most stable polymorph in this dataset: 0.0 meV per atom
# * N(E_F): 5.504 states/eV/f.u.
data_BaNd2Lu
_chemical_formula_sum 'Ba1 Nd2 Lu1'
_symmetry_space_group_name_H-M 'P 1'
_symmetry_Int_Tables_number 1
_symmetry_space_group_name_Hall 'P 1'
_cell_length_a 3.780
_cell_length_b 3.780
_cell_length_c 10.684
_cell_angle_alpha 90.00
_cell_angle_beta 90.00
_cell_angle_gamma 90.00
loop_
_atom_site_label
_atom_site_fract_x
_atom_site_fract_y
_atom_site_fract_z
Nd1 0.000 0.000 0.787
Lu1 0.500 0.500 0.000
Ba1 0.500 0.500 0.500
Nd2 0.000 0.000 0.213



2.
# Ba3Lu4O9 PBE relaxed
# * size of the total moment: 0.0 μB/cell
# * symmetry: No. 146
# * formation energy from raw total energies: -3.27 eV/atom
# * N(E_F): 0.000 states/eV/f.u.
data_Ba3Lu4O9
_chemical_formula_sum 'Ba3 Lu4 O9'
_symmetry_space_group_name_H-M 'P 1'
_symmetry_Int_Tables_number 1
_symmetry_space_group_name_Hall 'P 1'
_cell_length_a 9.016
_cell_length_b 9.016
_cell_length_c 9.016
_cell_angle_alpha 39.08
_cell_angle_beta 39.08
_cell_angle_gamma 39.08
loop_
_atom_site_label
_atom_site_fract_x
_atom_site_fract_y
_atom_site_fract_z
O1 0.111 0.580 0.047
O2 0.047 0.111 0.580
O3 0.580 0.047 0.111
Lu1 0.736 0.736 0.736
O4 0.118 0.584 0.699
O5 0.456 0.038 0.577
O6 0.699 0.118 0.584
O7 0.038 0.577 0.456
Lu2 0.422 0.422 0.422
O8 0.577 0.456 0.038
Ba1 0.999 0.999 0.999
Lu3 0.298 0.298 0.298
Ba2 0.160 0.160 0.160
Ba3 0.581 0.581 0.581
O9 0.584 0.699 0.118
Lu4 0.861 0.861 0.861



3.
# BaLu2O4 PBE relaxed
# * size of the total moment: 0.0 μB/cell
# * symmetry: No. 62
# * energy above the most stable polymorph in this dataset: 0.0 meV per atom
# * formation energy from raw total energies: -3.36 eV/atom
# * N(E_F): 0.000 states/eV/f.u.
data_BaLu2O4
_chemical_formula_sum 'Ba4 Lu8 O16'
_symmetry_space_group_name_H-M 'P 1'
_symmetry_Int_Tables_number 1
_symmetry_space_group_name_Hall 'P 1'
_cell_length_a 3.393
_cell_length_b 10.355
_cell_length_c 11.968
_cell_angle_alpha 90.00
_cell_angle_beta 90.00
_cell_angle_gamma 90.00
loop_
_atom_site_label
_atom_site_fract_x
_atom_site_fract_y
_atom_site_fract_z
Lu1 0.250 0.428 0.610
O1 0.250 0.709 0.348
O2 0.750 0.888 0.517
O3 0.250 0.112 0.483
Lu2 0.250 0.422 0.108
O4 0.250 0.931 0.073
O5 0.750 0.069 0.927
Lu3 0.250 0.928 0.890
O6 0.750 0.791 0.848
O7 0.250 0.612 0.017
O8 0.750 0.980 0.283
Ba1 0.750 0.246 0.350
Ba2 0.250 0.754 0.650
Ba3 0.750 0.746 0.150
Lu4 0.750 0.572 0.390
O9 0.250 0.520 0.783
O10 0.750 0.569 0.573
O11 0.250 0.431 0.427
O12 0.250 0.020 0.717
O13 0.250 0.209 0.152
Lu5 0.750 0.578 0.892
O14 0.750 0.388 0.983
Lu6 0.250 0.922 0.392
O15 0.750 0.480 0.217
Ba4 0.250 0.254 0.850
Lu7 0.750 0.072 0.110
Lu8 0.750 0.078 0.608
O16 0.750 0.291 0.652



4.
# BaLu2O4 PBE relaxed
# * size of the total moment: 0.0 μB/cell
# * symmetry: No. 63
# * energy above the most stable polymorph in this dataset: 42.4 meV per atom
# * formation energy from raw total energies: -3.32 eV/atom
# * N(E_F): 0.000 states/eV/f.u.
data_BaLu2O4
_chemical_formula_sum 'Ba2 Lu4 O8'
_symmetry_space_group_name_H-M 'P 1'
_symmetry_Int_Tables_number 1
_symmetry_space_group_name_Hall 'P 1'
_cell_length_a 5.810
_cell_length_b 5.810
_cell_length_c 11.337
_cell_angle_alpha 90.00
_cell_angle_beta 90.00
_cell_angle_gamma 146.17
loop_
_atom_site_label
_atom_site_fract_x
_atom_site_fract_y
_atom_site_fract_z
Lu1 0.365 0.635 0.930
Lu2 0.635 0.365 0.070
O1 0.260 0.740 0.400
O2 0.569 0.431 0.250
O3 0.000 0.000 0.500
O4 0.740 0.260 0.600
O5 0.431 0.569 0.750
O6 0.000 0.000 0.000
Ba1 0.888 0.112 0.250
O7 0.740 0.260 0.900
Lu3 0.365 0.635 0.570
O8 0.260 0.740 0.100
Lu4 0.635 0.365 0.430
Ba2 0.112 0.888 0.750



5.
# Ba3LuRu2O9 PBE relaxed
# * size of the total moment: 6.0 μB/cell
# * symmetry: No. 194
# * formation energy from raw total energies: -2.24 eV/atom
# * N(E_F): 5.049 states/eV/f.u.
data_Ba3LuRu2O9
_chemical_formula_sum 'Ba6 Lu2 Ru4 O18'
_symmetry_space_group_name_H-M 'P 1'
_symmetry_Int_Tables_number 1
_symmetry_space_group_name_Hall 'P 1'
_cell_length_a 5.918
_cell_length_b 5.918
_cell_length_c 14.456
_cell_angle_alpha 90.00
_cell_angle_beta 90.00
_cell_angle_gamma 120.00
loop_
_atom_site_label
_atom_site_fract_x
_atom_site_fract_y
_atom_site_fract_z
O1 0.826 0.174 0.914
Ba1 0.000 0.000 0.750
O2 0.349 0.174 0.586
Lu1 0.000 0.000 0.500
O3 0.174 0.826 0.414
O4 0.490 0.510 0.250
Ru1 0.333 0.667 0.337
O5 0.019 0.510 0.250
O6 0.826 0.651 0.914
Ba2 0.333 0.667 0.908
O7 0.490 0.981 0.250
Ru2 0.333 0.667 0.163
Lu2 0.000 0.000 0.000
O8 0.826 0.174 0.586
O9 0.349 0.174 0.914
Ba3 0.000 0.000 0.250
Ba4 0.667 0.333 0.408
O10 0.174 0.826 0.086
O11 0.651 0.826 0.086
O12 0.510 0.019 0.750
O13 0.510 0.490 0.750
Ru3 0.667 0.333 0.663
Ba5 0.667 0.333 0.092
O14 0.174 0.349 0.086
O15 0.651 0.826 0.414
O16 0.981 0.490 0.750
O17 0.826 0.651 0.586
Ru4 0.667 0.333 0.837
Ba6 0.333 0.667 0.592
O18 0.174 0.349 0.414



6.
# Ba2LuTaO6 PBE relaxed
# * size of the total moment: 0.0 μB/cell
# * symmetry: No. 12
# * formation energy from raw total energies: -3.21 eV/atom
# * N(E_F): 0.000 states/eV/f.u.
data_Ba2LuTaO6
_chemical_formula_sum 'Ba2 Lu1 Ta1 O6'
_symmetry_space_group_name_H-M 'P 1'
_symmetry_Int_Tables_number 1
_symmetry_space_group_name_Hall 'P 1'
_cell_length_a 5.970
_cell_length_b 5.970
_cell_length_c 5.971
_cell_angle_alpha 90.00
_cell_angle_beta 120.00
_cell_angle_gamma 119.99
loop_
_atom_site_label
_atom_site_fract_x
_atom_site_fract_y
_atom_site_fract_z
Ba1 0.500 0.250 0.750
O1 0.997 0.261 0.258
O2 0.000 0.260 0.737
O3 0.522 0.263 0.263
Ta1 0.000 0.500 0.500
O4 0.478 0.737 0.737
O5 0.003 0.739 0.742
Lu1 0.000 0.000 0.000
Ba2 0.500 0.750 0.250
O6 0.000 0.740 0.263